No. 1
Compound: SrSc2Cr
Source: the Alexandria database
Functional: PBE
Structure: relaxed Values from VASP.

Quantum ESPRESSO input file:
```
&SYSTEM
  ibrav = 0, nat = 4, ntyp = 3
/
ATOMIC_SPECIES
Sc 44.96 Sc.upf
Sr 87.62 Sr.upf
Cr 52.00 Cr.upf
CELL_PARAMETERS angstrom
-4.988 -9.306 3.241
-2.941 -10.605 0.924
-1.835 -10.109 4.051
ATOMIC_POSITIONS crystal
Sc 0.104 0.104 0.104
Sc 0.896 0.896 0.896
Sr 0.000 0.000 0.000
Cr 0.500 0.500 0.500
```

- Volume: 26.47 Å³/atom
- Energy relative to the elements: 0.59 eV per atom
- Distance to the lowest polymorph of the same formula: 298.8 meV per atom

***

No. 2
Compound: LiSmPaIr
Source: the Alexandria database
Functional: PBE
Structure: relaxed Values from VASP.

Quantum ESPRESSO input file:
```
&SYSTEM
  ibrav = 0, nat = 4, ntyp = 4
/
ATOMIC_SPECIES
Sm 150.36 Sm.upf
Ir 192.22 Ir.upf
Li 6.94 Li.upf
Pa 231.04 Pa.upf
CELL_PARAMETERS angstrom
4.962 0.000 0.000
2.481 4.297 0.000
2.481 1.432 4.052
ATOMIC_POSITIONS crystal
Sm 0.750 0.750 0.750
Ir 0.500 0.500 0.500
Li 0.000 0.000 0.000
Pa 0.250 0.250 0.250
```

- Volume: 21.60 Å³/atom
- Energy relative to the elements: -0.19 eV per atom

***

No. 3
Compound: Y2CoOs
Source: the Alexandria database
Functional: PBE
Structure: relaxed Values from VASP.

Quantum ESPRESSO input file:
```
&SYSTEM
  ibrav = 0, nat = 4, ntyp = 3
/
ATOMIC_SPECIES
Y 88.91 Y.upf
Co 58.93 Co.upf
Os 190.23 Os.upf
CELL_PARAMETERS angstrom
6.029 0.010 0.017
5.115 3.192 0.017
1.749 0.503 4.236
ATOMIC_POSITIONS crystal
Y 0.766 0.766 0.734
Y 0.981 0.981 0.019
Co 0.541 0.541 0.459
Os 0.212 0.212 0.288
```

- Volume: 20.30 Å³/atom
- Energy relative to the elements: 0.01 eV per atom

***

No. 4
Compound: AlIr2Pb
Source: the Alexandria database
Functional: PBE
Structure: relaxed Values from VASP.

Quantum ESPRESSO input file:
```
&SYSTEM
  ibrav = 0, nat = 8, ntyp = 3
/
ATOMIC_SPECIES
Ir 192.22 Ir.upf
Pb 207.20 Pb.upf
Al 26.98 Al.upf
CELL_PARAMETERS angstrom
-3.564 -1.632 -1.687
-1.139 -1.478 3.837
-6.492 5.822 2.687
ATOMIC_POSITIONS crystal
Ir 0.560 0.125 0.250
Ir 0.190 0.625 0.250
Ir 0.875 0.810 0.750
Ir 0.375 0.440 0.750
Pb 0.750 0.250 0.500
Pb 0.000 0.000 0.000
Al 0.250 0.750 0.500
Al 0.500 0.500 0.000
```

- Volume: 19.60 Å³/atom
- Energy relative to the elements: 0.31 eV per atom
- Distance to the lowest polymorph of the same formula: 480.0 meV per atom

***

- What is the energy relative to the elements in the first record?
  0.59 eV per atom